# Tb2VWN5 (GGA-PBE, relaxed)
# **E_tot**: -0.3384 Ha/atom
data_Tb2VWN5
_space_group_name_H-M_alt 'C m c 21'
_space_group_IT_number 36
_space_group_name_Hall 'C 2c -2'
_cell_length_a 3.2356
_cell_length_b 12.9666
_cell_length_c 10.1854
_cell_angle_alpha 90.00
_cell_angle_beta 90.00
_cell_angle_gamma 90.00
loop_
_atom_site_label
_atom_site_fract_x
_atom_site_fract_y
_atom_site_fract_z
Tb1 0.0000 0.1056 0.0000
Tb2 0.0000 0.1445 0.6005
V1 0.0000 0.4729 0.7670
W1 0.0000 0.2186 0.3194
N1 0.0000 0.0489 0.3559
N2 0.0000 0.2816 0.9533
N3 0.0000 0.3184 0.6858
N4 0.0000 0.3682 0.3081
N5 0.0000 0.4902 0.0936



# Tb2W3N8 (GGA-PBE, relaxed)
# **E_tot**: -0.3510 Ha/atom
data_Tb2W3N8
_space_group_name_H-M_alt 'C 1 2/m 1'
_space_group_IT_number 12
_space_group_name_Hall '-C 2y'
_cell_length_a 11.4076
_cell_length_b 6.3153
_cell_length_c 5.1457
_cell_angle_alpha 90.00
_cell_angle_beta 111.30
_cell_angle_gamma 90.00
loop_
_atom_site_label
_atom_site_fract_x
_atom_site_fract_y
_atom_site_fract_z
Tb1 0.2318 0.0000 0.1559
W1 0.0000 0.2273 0.5000
W2 0.0000 0.5000 0.0000
N1 0.1023 0.0000 0.4378
N2 0.1041 0.5000 0.4100
N3 0.1080 0.2805 0.9001



# TbWN4 (GGA-PBE, relaxed)
# **E_tot**: -0.3107 Ha/atom
data_TbWN4
_space_group_name_H-M_alt 'C m c m'
_space_group_IT_number 63
_space_group_name_Hall '-C 2c 2'
_cell_length_a 7.1817
_cell_length_b 6.4348
_cell_length_c 7.3342
_cell_angle_alpha 90.00
_cell_angle_beta 90.00
_cell_angle_gamma 90.00
loop_
_atom_site_label
_atom_site_fract_x
_atom_site_fract_y
_atom_site_fract_z
Tb1 0.0000 0.0861 0.2500
W1 0.0000 0.4157 0.7500
N1 0.0000 0.2343 0.5487
N2 0.2034 0.4011 0.2500



# Tb3WN4 (GGA-PBE, relaxed)
# **E_tot**: -0.3181 Ha/atom
data_Tb3WN4
_space_group_name_H-M_alt 'P m n 21'
_space_group_IT_number 31
_space_group_name_Hall 'P 2ac -2'
_cell_length_a 7.7661
_cell_length_b 6.6301
_cell_length_c 5.0035
_cell_angle_alpha 90.00
_cell_angle_beta 90.00
_cell_angle_gamma 90.00
loop_
_atom_site_label
_atom_site_fract_x
_atom_site_fract_y
_atom_site_fract_z
Tb1 0.0000 0.1469 0.0000
Tb2 0.2457 0.3317 0.5007
W1 0.0000 0.8141 0.4702
N1 0.0000 0.1093 0.4952
N2 0.0000 0.8119 0.0723
N3 0.2359 0.6904 0.4912



# TbWN2 (GGA-PBE, relaxed)
# **Excess energy over the best structure of this formula in the dataset**: 0.878 eV/atom
data_TbWN2
_space_group_name_H-M_alt 'P 4/m m m'
_space_group_IT_number 123
_space_group_name_Hall '-P 4 2'
_cell_length_a 2.7901
_cell_length_b 2.7901
_cell_length_c 5.8048
_cell_angle_alpha 90.00
_cell_angle_beta 90.00
_cell_angle_gamma 90.00
loop_
_atom_site_label
_atom_site_fract_x
_atom_site_fract_y
_atom_site_fract_z
Tb1 0.0000 0.0000 0.0000
W1 0.0000 0.0000 0.5000
N1 0.5000 0.5000 0.2862



# TbWN2 (GGA-PBE, relaxed)
# **Excess energy over the best structure of this formula in the dataset**: 0.000 eV/atom
data_TbWN2
_space_group_name_H-M_alt 'P n m a'
_space_group_IT_number 62
_space_group_name_Hall '-P 2ac 2n'
_cell_length_a 5.7453
_cell_length_b 3.2238
_cell_length_c 10.5870
_cell_angle_alpha 90.00
_cell_angle_beta 90.00
_cell_angle_gamma 90.00
loop_
_atom_site_label
_atom_site_fract_x
_atom_site_fract_y
_atom_site_fract_z
Tb1 0.0792 0.2500 0.1451
W1 0.0660 0.7500 0.4049
N1 0.1655 0.2500 0.7502
N2 0.2412 0.7500 0.9921



# TbWN2 (GGA-PBE, relaxed)
# **Excess energy over the best structure of this formula in the dataset**: 0.857 eV/atom
data_TbWN2
_space_group_name_H-M_alt 'R -3 m'
_space_group_IT_number 166
_space_group_name_Hall '-R 3 2"'
_cell_length_a 3.1965
_cell_length_b 3.1965
_cell_length_c 19.8467
_cell_angle_alpha 90.00
_cell_angle_beta 90.00
_cell_angle_gamma 120.00
loop_
_atom_site_label
_atom_site_fract_x
_atom_site_fract_y
_atom_site_fract_z
Tb1 0.0000 0.0000 0.0000
W1 0.0000 0.0000 0.5000
N1 0.0000 0.0000 0.1149



# Tb2W2N7 (GGA-PBE, relaxed)
# **E_tot**: -0.3291 Ha/atom
data_Tb2W2N7
_space_group_name_H-M_alt 'C 1 2/m 1'
_space_group_IT_number 12
_space_group_name_Hall '-C 2y'
_cell_length_a 7.1219
_cell_length_b 9.6447
_cell_length_c 5.4498
_cell_angle_alpha 90.00
_cell_angle_beta 102.25
_cell_angle_gamma 90.00
loop_
_atom_site_label
_atom_site_fract_x
_atom_site_fract_y
_atom_site_fract_z
Tb1 0.0000 0.1911 0.0000
W1 0.2381 0.5000 0.4030
N1 0.0000 0.5000 0.5000
N2 0.0804 0.0000 0.2844
N3 0.2386 0.3405 0.2116



# Tb2WN5 (GGA-PBE, relaxed)
# **E_tot**: -0.3198 Ha/atom
data_Tb2WN5
_space_group_name_H-M_alt 'C m c m'
_space_group_IT_number 63
_space_group_name_Hall '-C 2c 2'
_cell_length_a 4.2445
_cell_length_b 11.6879
_cell_length_c 10.0599
_cell_angle_alpha 90.00
_cell_angle_beta 90.00
_cell_angle_gamma 90.00
loop_
_atom_site_label
_atom_site_fract_x
_atom_site_fract_y
_atom_site_fract_z
Tb1 0.0000 0.1422 0.0607
W1 0.0000 0.2214 0.7500
N1 0.0000 0.0522 0.6816
N2 0.0000 0.2599 0.2500
N3 0.0000 0.3021 0.5830



# TbYW2N6 (GGA-PBE, relaxed)
# **E_tot**: -0.3565 Ha/atom
data_TbYW2N6
_space_group_name_H-M_alt 'C 1 2/c 1'
_space_group_IT_number 15
_space_group_name_Hall '-C 2yc'
_cell_length_a 11.1466
_cell_length_b 9.6311
_cell_length_c 6.3005
_cell_angle_alpha 90.00
_cell_angle_beta 111.74
_cell_angle_gamma 90.00
loop_
_atom_site_label
_atom_site_fract_x
_atom_site_fract_y
_atom_site_fract_z
Tb1 0.0000 0.2093 0.2500
Y1 0.0000 0.4102 0.7500
W1 0.2094 0.0896 0.7288
N1 0.1105 0.3909 0.1540
N2 0.1313 0.2563 0.6591
N3 0.1445 0.0077 0.4347



# TbYN2 (GGA-PBE, relaxed)
# **E_tot**: -0.3035 Ha/atom
data_TbYN2
_space_group_name_H-M_alt 'P -3 m 1'
_space_group_IT_number 164
_space_group_name_Hall '-P 3 2"'
_cell_length_a 3.4302
_cell_length_b 3.4302
_cell_length_c 6.0331
_cell_angle_alpha 90.00
_cell_angle_beta 90.00
_cell_angle_gamma 120.00
loop_
_atom_site_label
_atom_site_fract_x
_atom_site_fract_y
_atom_site_fract_z
Tb1 0.0000 0.0000 0.0000
Y1 0.0000 0.0000 0.5000
N1 0.3333 0.6667 0.7494



# TbY3N (GGA-PBE, relaxed)
# **Excess energy over the best structure of this formula in the dataset**: 0.063 eV/atom
data_TbY3N
_space_group_name_H-M_alt 'P m -3 m'
_space_group_IT_number 221
_space_group_name_Hall '-P 4 2 3'
_cell_length_a 4.9847
_cell_length_b 4.9847
_cell_length_c 4.9847
_cell_angle_alpha 90.00
_cell_angle_beta 90.00
_cell_angle_gamma 90.00
loop_
_atom_site_label
_atom_site_fract_x
_atom_site_fract_y
_atom_site_fract_z
Tb1 0.0000 0.0000 0.0000
Y1 0.0000 0.5000 0.5000
N1 0.5000 0.5000 0.5000



# Tb4Y2N (GGA-PBE, relaxed)
# **E_tot**: -0.2188 Ha/atom
data_Tb4Y2N
_space_group_name_H-M_alt 'I 4/m m m'
_space_group_IT_number 139
_space_group_name_Hall '-I 4 2'
_cell_length_a 4.8175
_cell_length_b 4.8175
_cell_length_c 17.6526
_cell_angle_alpha 90.00
_cell_angle_beta 90.00
_cell_angle_gamma 90.00
loop_
_atom_site_label
_atom_site_fract_x
_atom_site_fract_y
_atom_site_fract_z
Tb1 0.0000 0.0000 0.1326
Tb2 0.0000 0.5000 0.0000
Y1 0.0000 0.0000 0.3316
N1 0.0000 0.0000 0.0000



# TbYN2 (GGA-PBE, relaxed)
# **E_tot**: -0.3074 Ha/atom
data_TbYN2
_space_group_name_H-M_alt 'R 3 m'
_space_group_IT_number 160
_space_group_name_Hall 'R 3 -2"'
_cell_length_a 3.4311
_cell_length_b 3.4311
_cell_length_c 17.8131
_cell_angle_alpha 90.00
_cell_angle_beta 90.00
_cell_angle_gamma 120.00
loop_
_atom_site_label
_atom_site_fract_x
_atom_site_fract_y
_atom_site_fract_z
Tb1 0.0000 0.0000 0.0000
Y1 0.0000 0.0000 0.8294
N1 0.0000 0.0000 0.4126
N2 0.0000 0.0000 0.5817



# Tb2Y4N (GGA-PBE, relaxed)
# **E_tot**: -0.2374 Ha/atom
data_Tb2Y4N
_space_group_name_H-M_alt 'I 4/m m m'
_space_group_IT_number 139
_space_group_name_Hall '-I 4 2'
_cell_length_a 4.7896
_cell_length_b 4.7896
_cell_length_c 17.7691
_cell_angle_alpha 90.00
_cell_angle_beta 90.00
_cell_angle_gamma 90.00
loop_
_atom_site_label
_atom_site_fract_x
_atom_site_fract_y
_atom_site_fract_z
Tb1 0.0000 0.0000 0.1707
Y1 0.0000 0.0000 0.3672
Y2 0.0000 0.5000 0.0000
N1 0.0000 0.0000 0.5000



# TbY2N3 (GGA-PBE, relaxed)
# **E_tot**: -0.3224 Ha/atom
data_TbY2N3
_space_group_name_H-M_alt 'C 1 2/m 1'
_space_group_IT_number 12
_space_group_name_Hall '-C 2y'
_cell_length_a 6.0368
_cell_length_b 10.4559
_cell_length_c 6.0369
_cell_angle_alpha 90.00
_cell_angle_beta 109.47
_cell_angle_gamma 90.00
loop_
_atom_site_label
_atom_site_fract_x
_atom_site_fract_y
_atom_site_fract_z
Tb1 0.0000 0.1667 0.0000
Y1 0.0000 0.0000 0.5000
Y2 0.0000 0.3334 0.5000
Y3 0.0000 0.5000 0.0000
N1 0.2504 0.0000 0.2505
N2 0.2502 0.1665 0.7497



# Tb5Y3N8 (GGA-PBE, relaxed)
# **E_tot**: -0.3122 Ha/atom
data_Tb5Y3N8
_space_group_name_H-M_alt 'R -3 m'
_space_group_IT_number 166
_space_group_name_Hall '-R 3 2"'
_cell_length_a 6.9814
_cell_length_b 6.9814
_cell_length_c 17.1076
_cell_angle_alpha 90.00
_cell_angle_beta 90.00
_cell_angle_gamma 120.00
loop_
_atom_site_label
_atom_site_fract_x
_atom_site_fract_y
_atom_site_fract_z
Tb1 0.0000 0.0000 0.0000
Tb2 0.0000 0.0000 0.5000
Tb3 0.0000 0.5000 0.0000
Y1 0.0000 0.5000 0.5000
N1 0.0000 0.0000 0.2498
N2 0.9998 0.4999 0.2499



# Tb4YN4 (GGA-PBE, relaxed)
# **E_tot**: -0.2922 Ha/atom
data_Tb4YN4
_space_group_name_H-M_alt 'I 4/m'
_space_group_IT_number 87
_space_group_name_Hall '-I 4'
_cell_length_a 7.8614
_cell_length_b 7.8614
_cell_length_c 4.9548
_cell_angle_alpha 90.00
_cell_angle_beta 90.00
_cell_angle_gamma 90.00
loop_
_atom_site_label
_atom_site_fract_x
_atom_site_fract_y
_atom_site_fract_z
Tb1 0.1095 0.3122 0.0000
Y1 0.0000 0.0000 0.5000
N1 0.0979 0.2973 0.5000



# TbY3N (GGA-PBE, relaxed)
# **Excess energy over the best structure of this formula in the dataset**: 0.000 eV/atom
data_TbY3N
_space_group_name_H-M_alt 'P m n 21'
_space_group_IT_number 31
_space_group_name_Hall 'P 2ac -2'
_cell_length_a 7.1233
_cell_length_b 6.2893
_cell_length_c 5.8016
_cell_angle_alpha 90.00
_cell_angle_beta 90.00
_cell_angle_gamma 90.00
loop_
_atom_site_label
_atom_site_fract_x
_atom_site_fract_y
_atom_site_fract_z
Tb1 0.0000 0.1842 0.0000
Y1 0.0000 0.8169 0.4639
Y2 0.2498 0.3548 0.4818
N1 0.0000 0.5001 0.2316



# Tb2YN2 (GGA-PBE, relaxed)
# **E_tot**: -0.2857 Ha/atom
data_Tb2YN2
_space_group_name_H-M_alt 'C 1 2/m 1'
_space_group_IT_number 12
_space_group_name_Hall '-C 2y'
_cell_length_a 11.1822
_cell_length_b 4.9835
_cell_length_c 7.0896
_cell_angle_alpha 90.00
_cell_angle_beta 109.81
_cell_angle_gamma 90.00
loop_
_atom_site_label
_atom_site_fract_x
_atom_site_fract_y
_atom_site_fract_z
Tb1 0.0070 0.0000 0.2348
Tb2 0.1633 0.5000 0.0736
Y1 0.1572 0.5000 0.5924
N1 0.0014 0.5000 0.7487
N2 0.1658 0.0000 0.0836